Record 1
# CrRu2Rh

A PBEsol-optimized structure of CrRu2Rh (SCAN, the Alexandria database).

Structure (POSCAR):
```
CrRu2Rh
1.0
2.642 0.000 0.000
0.000 3.701 0.000
0.000 0.000 5.282
Cr Ru Rh
1 2 1
Direct
0.000 0.000 0.000
0.000 0.000 0.515
0.500 0.500 0.756
0.500 0.500 0.246
```

Results
E: -30.42 eV per atom
total moment: 1.91 μB per formula unit
symmetry: Pmm2

=====

Record 2
# CrSbRh2

A PBEsol-optimized structure of CrSbRh2 (SCAN, the Alexandria database).

Structure (POSCAR):
```
CrSbRh2
1.0
-2.007 2.007 3.658
2.007 -2.007 3.658
2.007 2.007 -3.658
Cr Sb Rh
1 1 2
Direct
0.000 0.000 0.000
0.500 0.500 0.000
0.250 0.750 0.500
0.750 0.250 0.500
```

Results
E: -31.17 eV per atom
formation energy (no corrections): -1.499 eV/f.u.
total moment: 3.15 μB per formula unit
symmetry: I4/mmm

=====

Record 3
# CrSb2Rh

A PBEsol-optimized structure of CrSb2Rh (SCAN, the Alexandria database).

Structure (POSCAR):
```
CrSb2Rh
1.0
4.075 -1.627 0.000
4.075 1.627 0.000
-1.287 0.000 5.576
Cr Sb Rh
1 2 1
Direct
0.000 0.000 0.000
0.246 0.246 0.744
0.754 0.754 0.256
0.500 0.500 0.500
```

Results
E: -31.72 eV per atom
formation energy (no corrections): -0.196 eV/f.u.
total moment: 3.98 μB per formula unit
symmetry: C2/m

=====

> Which formula does entry 1 have?

CrRu2Rh

=====

> Number 3 is which compound?

CrSb2Rh

=====

Repeat the first record exactly.
# CrRu2Rh

A PBEsol-optimized structure of CrRu2Rh (SCAN, the Alexandria database).

Structure (POSCAR):
```
CrRu2Rh
1.0
2.642 0.000 0.000
0.000 3.701 0.000
0.000 0.000 5.282
Cr Ru Rh
1 2 1
Direct
0.000 0.000 0.000
0.000 0.000 0.515
0.500 0.500 0.756
0.500 0.500 0.246
```

Results
E: -30.42 eV per atom
total moment: 1.91 μB per formula unit
symmetry: Pmm2